Entry 1:
Below is crystalline Sr5Br4 at its relaxed geometry, with properties calculated at the GGA-PBE level.

uncorrected energy = -2.71 eV/atom
symmetry = P6_3/mcm (193)
formation energy from raw total energies = -1.04 eV/atom
ρ = 3.18 g cm⁻³
DOS at the Fermi energy = 0.6491 states/eV per atom

abc: 10.9221 10.9221 7.6593
angles: 90.00 90.00 120.00
Last column: magnetic moment on the atom in μB.
Fractional positions:
Sr (0.0000, 0.2521, 0.7500)  0.05
Sr (0.7479, 0.7479, 0.7500)  0.05
Sr (0.0000, 0.7479, 0.2500)  0.05
Sr (0.6667, 0.3333, 0.0000)  0.09
Sr (0.2521, 0.0000, 0.7500)  0.05
Sr (0.2521, 0.2521, 0.2500)  0.05
Sr (0.3333, 0.6667, 0.0000)  0.09
Sr (0.7479, 0.0000, 0.2500)  0.05
Sr (0.6667, 0.3333, 0.5000)  0.09
Sr (0.3333, 0.6667, 0.5000)  0.09
Br (0.0000, 0.0000, 0.5000)  0.01
Br (0.0000, 0.6957, 0.7500)  0.03
Br (0.0000, 0.3043, 0.2500)  0.03
Br (0.6957, 0.0000, 0.7500)  0.03
Br (0.3043, 0.0000, 0.2500)  0.03
Br (0.0000, 0.0000, 0.0000)  0.01
Br (0.3043, 0.3043, 0.7500)  0.03
Br (0.6957, 0.6957, 0.2500)  0.03

Entry 2:
Below is crystalline ZnGa2Hg2 at its relaxed geometry, with properties calculated at the GGA-PBE level.

uncorrected energy = -1.49 eV/atom
formation energy = 0.10 eV/atom
symmetry = P4/mbm (127)
ρ = 9.25 g cm⁻³
DOS at the Fermi energy = 0.3351 states/eV per atom

abc: 6.7972 6.7972 4.7118
angles: 90.00 90.00 90.00
Fractional positions:
Zn (0.0000, 0.0000, 0.0000)
Zn (0.5000, 0.5000, 0.0000)
Hg (0.6837, 0.8163, 0.5000)
Hg (0.3163, 0.1837, 0.5000)
Hg (0.8163, 0.3163, 0.5000)
Hg (0.1837, 0.6837, 0.5000)
Ga (0.6381, 0.1381, 0.0000)
Ga (0.8619, 0.6381, 0.0000)
Ga (0.1381, 0.3619, 0.0000)
Ga (0.3619, 0.8619, 0.0000)

Entry 3:
Below is crystalline InSi2Sb at its relaxed geometry, with properties calculated at the GGA-PBE level.

uncorrected energy = -3.86 eV/atom
symmetry = F-43m (216)
formation energy from raw total energies = 0.57 eV/atom
ρ = 5.62 g cm⁻³
DOS at the Fermi energy = 0.4999 states/eV per atom

abc: 4.9633 4.9633 4.9633
angles: 60.00 60.00 60.00
Fractional positions:
Si (0.0000, 0.0000, 0.0000)
Si (0.2500, 0.2500, 0.2500)
Sb (0.7500, 0.7500, 0.7500)
In (0.5000, 0.5000, 0.5000)

Entry 4:
Below is crystalline BaHRh2I at its relaxed geometry, with properties calculated at the GGA-PBE level.

uncorrected energy = -3.24 eV/atom
symmetry = P4/mmm (123)
ρ = 6.43 g cm⁻³
DOS at the Fermi energy = 1.2741 states/eV per atom

abc: 5.3481 4.2523 5.3481
angles: 90.00 90.00 90.00
Last column: magnetic moment on the atom in μB.
Fractional positions:
I (0.5000, 0.5000, 0.5000)  0.09
Rh (0.5000, 0.0000, 0.0000)  0.65
Rh (0.0000, 0.0000, 0.5000)  0.45
H (0.0000, 0.5000, 0.0000)  0.01
Ba (0.0000, 0.0000, 0.0000)  -0.01

Entry 5:
Below is crystalline PmAgIrO4 at its relaxed geometry, with properties calculated at the GGA-PBE level.

uncorrected energy = -6.61 eV/atom
symmetry = Imma (74)
formation energy from raw total energies = -1.42 eV/atom
ρ = 8.06 g cm⁻³
DOS at the Fermi energy = 0.6325 states/eV per atom

abc: 6.4313 6.6217 7.1879
angles: 122.87 90.00 119.05
Fractional positions:
O (0.7524, 0.0500, 0.2750)
O (0.2439, 0.4878, 0.3142)
O (0.2439, 0.4878, 0.6735)
O (0.7024, 0.9500, 0.7250)
O (0.7561, 0.5122, 0.3265)
O (0.2976, 0.0500, 0.2750)
O (0.2476, 0.9500, 0.7250)
O (0.7561, 0.5122, 0.6858)
Ag (0.8617, 0.7235, 0.1117)
Ag (0.1383, 0.2765, 0.8883)
Ir (0.5000, 0.5000, 0.5000)
Ir (0.0000, 0.5000, 0.5000)
Pm (0.5000, 0.0000, 0.5000)
Pm (0.5000, 0.0000, 0.0000)

Entry 6:
Below is crystalline K2Hg2PdBr4 at its relaxed geometry, with properties calculated at the GGA-PBE level.

uncorrected energy = -2.50 eV/atom
symmetry = I4/mmm (139)
formation energy from raw total energies = -0.87 eV/atom
ρ = 5.50 g cm⁻³
DOS at the Fermi energy = 0.3725 states/eV per atom

abc: 7.0840 7.0840 7.0840
angles: 106.64 110.91 110.91
Last column: magnetic moment on the atom in μB.
Fractional positions:
Br (0.0000, 0.2302, 0.7698)  0.05
Br (0.4603, 0.2302, 0.2302)  0.05
Br (0.5397, 0.7698, 0.7698)  0.05
Br (0.0000, 0.7698, 0.2302)  0.05
K (0.5000, 0.7500, 0.2500)  0.00
K (0.5000, 0.2500, 0.7500)  0.00
Pd (0.0000, 0.0000, 0.0000)  0.36
Hg (0.0000, 0.6735, 0.6735)  0.01
Hg (0.0000, 0.3265, 0.3265)  0.01

Which formula does entry 5 have?
PmAgIrO4